1.
The following is a DFT calculation (GGA-PBE) of an optimized crystal structure of Er3Pt2Au3.

Cell lengths 3.576, 7.402, 7.402 Å; angles 120.00, 90.00, 90.00 degrees
Fractional positions:
1 Er 0.500 0.400 0.400
2 Au 0.000 0.000 0.231
3 Au 0.000 0.769 0.769
4 Pt 0.000 0.667 0.333
5 Er 0.500 0.000 0.600
6 Er 0.500 0.600 0.000
7 Pt 0.000 0.333 0.667
8 Au 0.000 0.231 0.000

Calculated values
**Final energy**: -0.4033 Ry/atom
**Symmetry**: P-62m
**Energy of formation**: -1.04 eV per atom

2.
The following is a DFT calculation (GGA-PBE) of an optimized crystal structure of Er2PtAu2.

Cell lengths 5.866, 6.260, 7.736 Å; angles 113.87, 112.28, 90.00 degrees
Fractional positions:
1 Au 0.376 0.084 0.752
2 Er 0.150 0.897 0.300
3 Au 0.124 0.332 0.248
4 Pt 0.250 0.500 0.000
5 Er 0.650 0.402 0.300
6 Au 0.624 0.916 0.248
7 Au 0.876 0.668 0.752
8 Er 0.350 0.598 0.700
9 Pt 0.750 0.500 0.000
10 Er 0.850 0.103 0.700

Calculated values
**E above lowest polymorph**: 0.0906 eV/atom
**Final energy**: -0.3813 Ry/atom
**Symmetry**: Ibam
**Energy of formation**: -0.84 eV per atom

3.
The following is a DFT calculation (GGA-PBE) of an optimized crystal structure of Er8Pt5Au.

Cell lengths 7.528, 7.528, 7.528 Å; angles 109.20, 110.02, 109.20 degrees
Fractional positions:
1 Pt 0.371 0.121 0.995
2 Er 0.255 0.245 0.368
3 Er 0.631 0.376 0.878
4 Er 0.502 0.624 0.255
5 Pt 0.005 0.376 0.126
6 Pt 0.500 0.000 0.500
7 Er 0.122 0.753 0.498
8 Pt 0.750 0.624 0.629
9 Er 0.745 0.247 0.369
10 Er 0.632 0.888 0.878
11 Er 0.122 0.755 0.010
12 Pt 0.874 0.879 0.250
13 Er 0.990 0.112 0.745
14 Au 0.250 0.500 0.750

Calculated values
**Final energy**: -0.4461 Ry/atom
**Symmetry**: I-4
**Energy of formation**: -1.07 eV per atom

4.
The following is a DFT calculation (GGA-PBE) of an optimized crystal structure of Er4Pt7Au.

Cell lengths 5.220, 9.331, 5.933 Å; angles 81.58, 63.90, 73.76 degrees
Fractional positions:
1 Pt 0.365 0.528 0.742
2 Pt 0.075 0.689 0.161
3 Er 0.787 0.636 0.790
4 Er 0.213 0.364 0.210
5 Er 0.404 0.787 0.405
6 Pt 0.210 0.097 0.482
7 Pt 0.500 0.000 0.000
8 Au 0.000 0.000 0.000
9 Pt 0.790 0.903 0.518
10 Pt 0.635 0.472 0.258
11 Er 0.596 0.213 0.595
12 Pt 0.925 0.311 0.839

Calculated values
**E above lowest polymorph**: 0.1912 eV/atom
**Final energy**: -0.4544 Ry/atom
**Symmetry**: C2/m
**Energy of formation**: -0.86 eV per atom

Question: Number 2 is which compound?
Answer: Er2PtAu2

Question: What is the energy of formation in the fourth record?
Answer: -0.86 eV per atom

Repeat the second record exactly.
The following is a DFT calculation (GGA-PBE) of an optimized crystal structure of Er2PtAu2.

Cell lengths 5.866, 6.260, 7.736 Å; angles 113.87, 112.28, 90.00 degrees
Fractional positions:
1 Au 0.376 0.084 0.752
2 Er 0.150 0.897 0.300
3 Au 0.124 0.332 0.248
4 Pt 0.250 0.500 0.000
5 Er 0.650 0.402 0.300
6 Au 0.624 0.916 0.248
7 Au 0.876 0.668 0.752
8 Er 0.350 0.598 0.700
9 Pt 0.750 0.500 0.000
10 Er 0.850 0.103 0.700

Calculated values
**E above lowest polymorph**: 0.0906 eV/atom
**Final energy**: -0.3813 Ry/atom
**Symmetry**: Ibam
**Energy of formation**: -0.84 eV per atom